Record 1
# MnFe2MoN | Alexandria | PBE | relaxed
# uncorrected formation energy = -0.04 eV per atom
# DOS(E_F) = 0.775 states/eV/atom
# magnetic moment = 2.18 μB per formula unit
data_MnFe2MoN
_cell_length_a 3.741
_cell_length_b 3.741
_cell_length_c 4.078
_cell_angle_alpha 90.00
_cell_angle_beta 90.00
_cell_angle_gamma 90.00
_symmetry_space_group_name_H-M 'P 4/m m m'
_symmetry_Int_Tables_number 123
_symmetry_space_group_name_Hall '-P 4 2'
loop_
_atom_site_label
_atom_site_type_symbol
_atom_site_fract_x
_atom_site_fract_y
_atom_site_fract_z
_atom_site_occupancy
Mn1 Mn 0.000 0.000 0.000 1
Fe1 Fe 0.000 0.500 0.500 1
Mo1 Mo 0.500 0.500 0.000 1
N1 N 0.500 0.500 0.500 1

Record 2
# MnNbFe2Mo | Alexandria | PBE | relaxed
# DOS(E_F) = 1.127 states/eV/atom
# ΔH_f (0 K) = 1090 meV/atom
# magnetic moment = 2.28 μB per formula unit
data_MnNbFe2Mo
_cell_length_a 4.119
_cell_length_b 4.119
_cell_length_c 4.582
_cell_angle_alpha 90.00
_cell_angle_beta 90.00
_cell_angle_gamma 90.00
_symmetry_space_group_name_H-M 'P 4/m m m'
_symmetry_Int_Tables_number 123
_symmetry_space_group_name_Hall '-P 4 2'
loop_
_atom_site_label
_atom_site_type_symbol
_atom_site_fract_x
_atom_site_fract_y
_atom_site_fract_z
_atom_site_occupancy
Mn1 Mn 0.000 0.000 0.000 1
Nb1 Nb 0.000 0.000 0.500 1
Fe1 Fe 0.000 0.500 0.000 1
Mo1 Mo 0.500 0.500 0.500 1

Record 3
# MnFeNiMo2 | Alexandria | PBE | relaxed
# DOS(E_F) = 1.157 states/eV/atom
# ΔH_f (0 K) = 1241 meV/atom
# magnetic moment = 2.02 μB per formula unit
data_MnFeNiMo2
_cell_length_a 4.393
_cell_length_b 4.393
_cell_length_c 4.205
_cell_angle_alpha 90.00
_cell_angle_beta 90.00
_cell_angle_gamma 90.00
_symmetry_space_group_name_H-M 'P 4/m m m'
_symmetry_Int_Tables_number 123
_symmetry_space_group_name_Hall '-P 4 2'
loop_
_atom_site_label
_atom_site_type_symbol
_atom_site_fract_x
_atom_site_fract_y
_atom_site_fract_z
_atom_site_occupancy
Mn1 Mn 0.000 0.000 0.000 1
Fe1 Fe 0.000 0.000 0.500 1
Ni1 Ni 0.500 0.500 0.500 1
Mo1 Mo 0.000 0.500 0.000 1

> The highest DOS(E_F) belongs to which entry?

MnFeNiMo2